Entry 1:
DFT (PBE-GGA) results for a geometry-optimized Ti3GaH3 structure.

The structure in POSCAR format:
```
Ti3GaH3
1.0
-0.8946 -3.7381 -3.6121
-0.4638 -3.5932 3.8333
-5.1774 0.9678 0.2807
H Ga Ti
6 2 6
Cartesian
-2.8124 -0.4506 -0.7627
-0.7951 -4.5640 1.0689
-0.5632 -2.7673 -0.8477
-1.5262 -1.5547 1.9869
-3.2596 -2.3197 -2.5687
-4.1150 -1.0708 2.1272
-3.2679 -3.1818 0.2510
0.0000 0.0000 0.0000
-2.9365 -2.2110 3.0154
-0.4555 -2.7311 1.0136
-4.3303 -1.1432 -1.5955
-1.7416 -1.6271 -1.7359
-2.7047 -0.4144 1.0987
-0.9028 -4.6002 -0.7924
```

Properties
Theoretical density, kg/m³: 4896
M_tot, μB/f.u.: 0.63
E_tot, eV per atom: -5.700

***

Entry 2:
DFT (PBE-GGA) results for a geometry-optimized Ti3GaH structure.

The structure in POSCAR format:
```
Ti3GaH
1.0
4.5819 0.0000 0.7839
0.0000 5.5103 0.0000
-0.9403 0.0000 5.1560
Ti Ga H
6 2 2
Cartesian
2.8709 1.3776 3.7764
0.3295 2.7568 4.5708
3.3122 2.7535 1.3690
0.7707 4.1327 2.1635
0.3295 5.5086 4.5708
3.3122 0.0016 1.3690
2.8309 4.1327 3.9818
0.8108 1.3776 1.9580
2.0207 4.1327 0.7358
1.6210 1.3776 5.2040
```

Properties
Theoretical density, kg/m³: 5303
M_tot, μB/f.u.: 0.00
E_tot, eV per atom: -6.372

***

Entry 3:
DFT (PBE-GGA) results for a geometry-optimized Ti3GaH structure.

The structure in POSCAR format:
```
Ti3GaH
1.0
-7.2152 14.8581 -5.5211
-0.5168 -2.0261 -4.7771
0.0733 -6.7966 2.8747
Ti Ga H
12 4 4
Cartesian
-7.0524 10.5803 -5.2031
-2.1992 -2.1974 -1.9635
-0.6063 -4.5450 -2.2204
-5.1295 3.8133 -5.5804
-2.5292 2.2221 -1.8431
-4.2607 6.2427 -6.5116
-5.4595 8.2328 -5.4600
-6.1453 6.0757 -3.5839
-1.6090 -1.7860 0.6443
-6.0497 7.8213 -8.0679
-3.3980 -0.2074 -0.9119
-1.5134 -0.0404 -3.8396
-0.6969 0.2023 -1.2107
-6.9618 5.8330 -6.2128
-3.3504 1.9609 -4.5157
-4.3083 4.0745 -2.9078
-0.7008 -2.9351 -0.8200
-4.1415 1.6065 -0.9388
-6.9579 8.9704 -6.6035
-3.5172 4.4289 -6.4847
```

Properties
Theoretical density, kg/m³: 5216
M_tot, μB/f.u.: 0.00
E_tot, eV per atom: -6.270

***

Entry 4:
DFT (PBE-GGA) results for a geometry-optimized Ti3GaH structure.

The structure in POSCAR format:
```
Ti3GaH
1.0
4.8782 0.0000 0.4776
0.0000 5.4162 0.0000
-1.5558 0.0000 5.0417
Ti Ga H
6 2 2
Cartesian
4.1148 5.3978 1.6114
1.6189 1.3540 1.9757
-0.7924 0.0184 3.9079
4.1148 2.7265 1.6114
1.7034 4.0621 3.5435
-0.7924 2.6897 3.9079
1.7524 4.0621 0.9247
1.5699 1.3540 4.5946
3.6357 4.0621 3.0759
-0.3134 1.3540 2.4434
```

Properties
Theoretical density, kg/m³: 5187
M_tot, μB/f.u.: 0.00
E_tot, eV per atom: -6.305

***

Entry 5:
DFT (PBE-GGA) results for a geometry-optimized Ti4GaH structure.

The structure in POSCAR format:
```
Ti4GaH
1.0
-0.4786 -3.8139 -3.4646
-0.0435 -4.5585 5.0242
-4.8247 1.2228 1.0677
Ti H Ga
8 2 2
Cartesian
-2.2977 -3.4541 -1.5238
-4.5054 -4.4461 -0.7316
-3.2822 -4.9455 1.6948
-2.0646 -2.2041 0.9325
-0.8414 -2.7036 3.3590
-3.0491 -3.6955 4.1511
-4.2561 -1.4929 -0.1524
-1.0907 -5.6567 2.7797
-2.6517 -1.2956 -1.1984
-2.4341 -1.6679 3.0459
0.0000 0.0000 0.0000
-0.2610 -4.1862 0.7798
```

Properties
Theoretical density, kg/m³: 5007
M_tot, μB/f.u.: 0.00
E_tot, eV per atom: -6.414

***

Entry 6:
DFT (PBE-GGA) results for a geometry-optimized Ti2Ga2H structure.

The structure in POSCAR format:
```
Ti2Ga2H
1.0
2.9156 0.0000 0.0000
0.0000 7.3171 0.0000
-1.4578 0.0000 6.7012
Ti Ga H
4 4 2
Cartesian
1.4578 0.4890 4.9383
0.0000 2.7201 6.1903
1.4578 6.3787 0.5109
0.0000 4.1475 1.7629
0.0000 1.3791 1.3502
1.4578 2.9762 3.7582
0.0000 6.6348 2.9430
1.4578 5.0377 5.3510
0.0000 0.7357 6.0599
1.4578 4.3943 0.6413
```

Properties
Theoretical density, kg/m³: 5487
M_tot, μB/f.u.: 0.00
E_tot, eV per atom: -5.283

***

Q: Which of these has the highest M_tot?
A: Ti3GaH3

***

Q: Which formula does entry 6 have?
A: Ti2Ga2H

***

Q: Number 6 is which compound?
A: Ti2Ga2H